# 1
Density functional theory data (PBE) for Cu3Ag2 after structural relaxation.

Computed properties:
Density ... 9.48 g/cm3
SG ... C2/m, No. 12
Calculated formation energy ... 0.0778 eV per atom

Cell: 4.732 4.732 8.621 Å, 91.45 91.45 47.51°
Sites, in units of the cell vectors:
Ag1 0.546 0.546 0.324
Ag2 0.848 0.848 0.439
Ag3 0.152 0.152 0.561
Ag4 0.454 0.454 0.676
Cu1 0.650 0.650 0.041
Cu2 0.941 0.941 0.130
Cu3 0.243 0.243 0.223
Cu4 0.757 0.757 0.777
Cu5 0.059 0.059 0.870
Cu6 0.350 0.350 0.959

---

# 2
Density functional theory data (PBE) for CuAg2 after structural relaxation.

Computed properties:
Density ... 9.69 g/cm3
SG ... I4/mmm, No. 139
Calculated formation energy ... 0.0497 eV per atom

Cell: 17.461 17.461 17.461 Å, 170.55 170.55 13.38°
Sites, in units of the cell vectors:
Ag1 0.114 0.114 0.000
Ag2 0.324 0.324 0.000
Ag3 0.448 0.448 0.000
Ag4 0.552 0.552 0.000
Ag5 0.676 0.676 0.000
Ag6 0.886 0.886 0.000
Cu1 0.000 0.000 0.000
Cu2 0.229 0.229 0.000
Cu3 0.771 0.771 0.000

---

# 3
Density functional theory data (PBE) for CuAg5 after structural relaxation.

Computed properties:
Density ... 9.84 g/cm3
SG ... Pmmm, No. 47
Calculated formation energy ... 0.0482 eV per atom

Cell: 2.901 4.052 8.654 Å, 90.00 90.00 90.00°
Sites, in units of the cell vectors:
Ag1 0.500 0.500 0.158
Ag2 0.000 0.000 0.327
Ag3 0.500 0.500 0.500
Ag4 0.000 0.000 0.673
Ag5 0.500 0.500 0.842
Cu1 0.000 0.000 0.000

---

# 4
Density functional theory data (PBE) for CuAg after structural relaxation.

Computed properties:
Density ... 9.63 g/cm3
SG ... Cm, No. 8
Calculated formation energy ... 0.0925 eV per atom

Cell: 9.612 9.612 5.623 Å, 98.37 98.37 16.71°
Sites, in units of the cell vectors:
Ag1 0.799 0.799 0.397
Ag2 0.003 0.003 0.479
Ag3 0.405 0.405 0.719
Ag4 0.604 0.604 0.811
Ag5 0.790 0.790 0.897
Cu1 0.004 0.004 0.016
Cu2 0.196 0.196 0.121
Cu3 0.402 0.402 0.190
Cu4 0.604 0.604 0.293
Cu5 0.193 0.193 0.576

---

# 5
Density functional theory data (PBE) for Cu3Ag2 after structural relaxation.

Computed properties:
Density ... 9.44 g/cm3
SG ... C2/m, No. 12
Calculated formation energy ... 0.0920 eV per atom

Cell: 4.820 4.820 11.173 Å, 97.79 97.79 33.79°
Sites, in units of the cell vectors:
Ag1 0.950 0.950 0.147
Ag2 0.855 0.855 0.439
Ag3 0.145 0.145 0.561
Ag4 0.050 0.050 0.853
Cu1 0.660 0.660 0.052
Cu2 0.240 0.240 0.241
Cu3 0.563 0.563 0.345
Cu4 0.437 0.437 0.655
Cu5 0.760 0.760 0.759
Cu6 0.340 0.340 0.948

---

# 6
Density functional theory data (PBE) for CuAg after structural relaxation.

Computed properties:
Density ... 9.52 g/cm3
SG ... P1, No. 1
Calculated formation energy ... 0.1056 eV per atom

Cell: 4.762 4.778 7.347 Å, 83.95 71.10 71.00°
Sites, in units of the cell vectors:
Ag1 0.497 0.500 0.006
Ag2 0.303 0.500 0.396
Ag3 0.207 0.998 0.591
Ag4 0.603 0.999 0.798
Ag5 0.097 0.499 0.809
Cu1 0.989 0.999 0.024
Cu2 0.403 0.999 0.198
Cu3 0.897 0.498 0.209
Cu4 0.810 0.000 0.385
Cu5 0.709 0.498 0.585

---

# 7
Density functional theory data (PBE) for CuAg2 after structural relaxation.

Computed properties:
Density ... 9.61 g/cm3
SG ... Imm2, No. 44
Calculated formation energy ... 0.0837 eV per atom

Cell: 7.437 7.437 7.437 Å, 157.72 110.39 74.11°
Sites, in units of the cell vectors:
Ag1 0.334 0.334 0.000
Ag2 0.676 0.676 0.000
Ag3 0.318 0.995 0.323
Ag4 0.000 0.667 0.333
Ag5 0.334 0.667 0.667
Ag6 0.672 0.995 0.677
Cu1 0.988 0.988 0.000
Cu2 0.686 0.340 0.346
Cu3 0.993 0.340 0.654

---

# 8
Density functional theory data (PBE) for Cu3Ag2 after structural relaxation.

Computed properties:
Density ... 9.40 g/cm3
SG ... P1, No. 1
Calculated formation energy ... 0.0942 eV per atom

Cell: 5.496 6.045 9.427 Å, 76.03 73.36 76.89°
Sites, in units of the cell vectors:
Ag1 0.810 0.611 0.076
Ag2 0.111 0.208 0.191
Ag3 0.402 0.800 0.295
Ag4 0.905 0.803 0.300
Ag5 0.708 0.391 0.405
Ag6 0.489 0.002 0.511
Ag7 0.285 0.584 0.609
Ag8 0.394 0.796 0.815
Cu1 0.308 0.594 0.097
Cu2 0.602 0.212 0.186
Cu3 0.200 0.390 0.402
Cu4 0.990 0.998 0.516
Cu5 0.801 0.589 0.612
Cu6 0.079 0.198 0.707
Cu7 0.608 0.200 0.710
Cu8 0.895 0.816 0.793
Cu9 0.210 0.380 0.895
Cu10 0.703 0.391 0.895
Cu11 0.512 0.017 0.992
Cu12 0.990 0.018 0.992